Version P
The following is a DFT calculation (PBE-GGA) of a relaxed structure of Ta2CoBr.

Unit cell a=6.965 b=6.965 c=6.965 alpha=30.66 beta=30.66 gamma=30.66
Sites, in units of the cell vectors:
Ta1 0.222 0.222 0.222
Ta2 0.778 0.778 0.778
Co1 0.500 0.500 0.500
Br1 0.000 0.000 0.000

Properties
The space group is R-3m (166). As for the crystal system: trigonal. The total magnetization is 0.0 μB/cell.


Version Q
The following is a DFT calculation (PBE-GGA) of a relaxed structure of Ta2CoBr.

Unit cell a=3.159 b=3.159 c=7.103 alpha=90.00 beta=90.00 gamma=90.00
Sites, in units of the cell vectors:
Ta1 0.000 0.000 0.000
Ta2 0.500 0.500 0.265
Co1 0.500 0.500 0.837
Br1 0.000 0.000 0.517

Properties
The space group is P4mm (99). As for the crystal system: tetragonal. The total magnetization is 0.0 μB/cell.


How do the structures above rank in stability at the extremes? version P comes first and version Q comes last.